1.
## YHo4S6 (PBE-GGA)

Data for a relaxed structure of YHo4S6.

```
22
Lattice="3.813 0.000 0.000 -1.906 6.398 0.000 0.000 0.000 19.760" Properties=species:S:1:pos:R:3 pbc="T T T"
Y 1.906 1.944 4.940
Y 0.000 4.454 14.820
Ho 1.906 4.622 10.665
Ho 0.000 5.229 2.522
Ho 0.000 1.776 9.095
Ho 1.906 1.169 17.238
Ho 1.906 4.622 18.974
Ho 0.000 1.776 0.785
Ho 1.906 1.169 12.401
Ho 0.000 5.229 7.358
S 1.906 0.000 0.000
S 1.906 0.000 9.880
S 0.000 0.646 6.583
S 1.906 5.752 13.177
S 1.906 5.752 16.463
S 0.000 0.646 3.297
S 1.906 3.450 8.127
S 0.000 2.948 11.632
S 0.000 2.948 18.007
S 1.906 3.450 1.752
S 0.000 3.938 4.940
S 1.906 2.460 14.820
```

Values from the calculation:
The space group is Cmcm, No. 63. For the raw formation energy, the calculation gives -2.03 eV per atom. The value obtained for the density of states at the Fermi level is 5.19 states/eV per cell. Its crystal system is orthorhombic.


2.
## YHo3S4 (PBE-GGA)

Data for a relaxed structure of YHo3S4.

```
8
Lattice="-1.455 1.424 3.282 -4.733 3.296 -3.527 -2.325 -6.135 1.631" Properties=species:S:1:pos:R:3 pbc="T T T"
Y -0.727 0.712 1.641
S -1.779 -0.716 -0.478
S -4.856 1.640 -0.591
S -5.279 -2.124 -1.418
S -3.657 -3.056 1.977
Ho -1.162 -3.068 0.816
Ho -4.256 -0.708 0.693
Ho -2.366 1.648 -1.764
```

Values from the calculation:
The space group is Cmmm, No. 65. For the raw formation energy, the calculation gives -1.98 eV per atom. The value obtained for the density of states at the Fermi level is 4.86 states/eV per cell. Its crystal system is orthorhombic.


3.
## Y3HoS6 (PBE-GGA)

Data for a relaxed structure of Y3HoS6.

```
20
Lattice="8.035 0.012 0.012 -0.162 8.034 0.012 -0.162 -0.166 8.032" Properties=species:S:1:pos:R:3 pbc="T T T"
Y 3.203 7.299 6.063
Y 7.228 5.987 3.494
Y 1.882 4.550 0.625
Y 5.829 3.330 7.432
Y 0.483 1.893 4.563
Y 4.508 0.581 1.994
Ho 0.000 0.000 0.000
Ho 3.855 3.940 4.028
S 2.369 7.298 0.668
S 0.466 7.268 5.516
S 4.566 6.504 3.738
S 7.256 5.501 0.746
S 3.493 4.643 6.585
S 1.307 4.247 3.269
S 6.404 3.633 4.788
S 4.218 3.237 1.471
S 0.455 2.379 7.311
S 3.145 1.376 4.319
S 7.245 0.612 2.541
S 5.342 0.582 7.389
```

Values from the calculation:
The space group is R-3, No. 148. For the raw formation energy, the calculation gives -2.07 eV per atom. The value obtained for the density of states at the Fermi level is 0.00 states/eV per cell. Its crystal system is trigonal.


4.
## Y3Ho2S4 (PBE-GGA)

Data for a relaxed structure of Y3Ho2S4.

```
9
Lattice="-0.365 -2.363 3.025 0.288 -1.455 -3.559 15.816 -0.529 1.500" Properties=species:S:1:pos:R:3 pbc="T T T"
Y 6.327 -2.277 1.443
Y 0.000 0.000 0.000
Y 9.412 -2.070 -0.477
Ho 12.419 -2.481 2.024
Ho 3.320 -1.866 -1.058
S 14.248 -2.232 -0.019
S 4.449 -2.524 3.480
S 11.290 -1.823 -2.514
S 1.491 -2.115 0.985
```

Values from the calculation:
The space group is P-3m1, No. 164. For the raw formation energy, the calculation gives -1.76 eV per atom. The value obtained for the density of states at the Fermi level is 5.84 states/eV per cell. Its crystal system is trigonal.


5.
## YHo4S7 (PBE-GGA)

Data for a relaxed structure of YHo4S7.

```
12
Lattice="3.794 0.000 0.000 -1.897 6.198 -1.625 0.000 0.033 11.582" Properties=species:S:1:pos:R:3 pbc="T T T"
Y 1.897 4.830 5.443
Ho 1.897 2.509 8.764
Ho 0.000 3.727 1.196
Ho 0.000 0.004 0.004
Ho 0.000 1.399 4.511
S 1.897 2.989 3.291
S 0.000 3.215 6.664
S 0.000 4.262 9.884
S 1.897 1.976 0.075
S 0.000 0.551 8.966
S 1.897 5.687 0.999
S 1.897 0.020 5.775
```

Values from the calculation:
The space group is Cm, No. 8. For the raw formation energy, the calculation gives -2.07 eV per atom. The value obtained for the density of states at the Fermi level is 1.39 states/eV per cell. Its crystal system is monoclinic.


6.
## YHo2S (PBE-GGA)

Data for a relaxed structure of YHo2S.

```
4
Lattice="-0.910 -3.429 -0.806 -0.410 -2.447 2.661 -10.123 0.443 1.333" Properties=species:S:1:pos:R:3 pbc="T T T"
Y 0.000 0.000 0.000
S -5.722 -2.716 1.594
Ho -6.870 -0.364 1.093
Ho -4.574 -5.068 2.095
```

Values from the calculation:
The space group is R-3m, No. 166. For the raw formation energy, the calculation gives -0.72 eV per atom. The value obtained for the density of states at the Fermi level is 3.72 states/eV per cell. Its crystal system is trigonal.


7.
## YHo3S4 (PBE-GGA)

Data for a relaxed structure of YHo3S4.

```
8
Lattice="5.505 0.000 0.000 0.000 5.505 0.000 0.000 0.000 5.505" Properties=species:S:1:pos:R:3 pbc="T T T"
Y 0.000 0.000 0.000
Ho 0.000 2.753 2.753
Ho 2.753 0.000 2.753
Ho 2.753 2.753 0.000
S 2.753 0.000 0.000
S 0.000 2.753 0.000
S 0.000 0.000 2.753
S 2.753 2.753 2.753
```

Values from the calculation:
The space group is Pm-3m, No. 221. For the raw formation energy, the calculation gives -1.97 eV per atom. The value obtained for the density of states at the Fermi level is 4.49 states/eV per cell. Its crystal system is cubic.


8.
## Y3HoS (PBE-GGA)

Data for a relaxed structure of Y3HoS.

```
5
Lattice="5.309 0.000 0.000 0.000 5.309 0.000 0.000 0.000 5.309" Properties=species:S:1:pos:R:3 pbc="T T T"
Y 0.000 2.654 0.000
Y 0.000 0.000 2.654
Y 2.654 0.000 0.000
S 0.000 0.000 0.000
Ho 2.654 2.654 2.654
```

Values from the calculation:
The space group is Pm-3m, No. 221. For the raw formation energy, the calculation gives -0.66 eV per atom. The value obtained for the density of states at the Fermi level is 9.24 states/eV per cell. Its crystal system is cubic.


9.
## Y4HoS6 (PBE-GGA)

Data for a relaxed structure of Y4HoS6.

```
22
Lattice="-1.182 -3.638 0.009 6.585 -0.132 -1.350 3.955 -1.240 19.411" Properties=species:S:1:pos:R:3 pbc="T T T"
Y 5.869 -3.896 9.515
Y 5.409 -1.755 1.389
Y 3.488 -1.114 8.555
Y 3.948 -3.255 16.681
Y 7.530 -4.417 17.668
Y 1.827 -0.593 0.402
Y 2.985 -2.953 11.955
Y 6.372 -2.057 6.115
Ho 2.214 -2.720 4.449
Ho 7.143 -2.290 13.621
S -0.591 -1.819 0.004
S 1.386 -2.439 9.710
S 1.936 -0.614 6.307
S 7.421 -4.395 11.763
S 8.070 -4.599 14.950
S 1.287 -0.411 3.119
S 4.272 -3.383 7.254
S 5.085 -1.627 10.816
S 6.358 -2.026 17.063
S 2.999 -2.984 1.006
S 4.635 -1.497 4.034
S 4.722 -3.513 14.036
```

Values from the calculation:
The space group is Cmcm, No. 63. For the raw formation energy, the calculation gives -2.04 eV per atom. The value obtained for the density of states at the Fermi level is 5.37 states/eV per cell. Its crystal system is orthorhombic.


10.
## Y4Ho3S8 (PBE-GGA)

Data for a relaxed structure of Y4Ho3S8.

```
15
Lattice="7.789 -0.107 -0.154 -3.802 6.797 0.125 -3.802 -2.243 6.417" Properties=species:S:1:pos:R:3 pbc="T T T"
Y 3.894 -0.054 -0.077
Y -1.901 3.398 0.062
Y 0.000 0.000 0.000
Y -1.901 -1.121 3.209
Ho 1.994 3.345 -0.015
Ho 1.994 -1.175 3.132
Ho 0.093 2.223 3.194
S 1.998 1.096 1.574
S -3.802 4.524 1.707
S -1.903 1.149 1.650
S 0.093 4.475 1.627
S 0.093 -0.028 4.761
S 2.089 3.298 4.738
S -3.802 0.030 4.835
S -1.812 3.351 4.814
```

Values from the calculation:
The space group is C2/m, No. 12. For the raw formation energy, the calculation gives -2.05 eV per atom. The value obtained for the density of states at the Fermi level is 6.30 states/eV per cell. Its crystal system is monoclinic.


11.
## Y3HoS4 (PBE-GGA)

Data for a relaxed structure of Y3HoS4.

```
8
Lattice="-3.380 -1.890 0.255 3.291 -5.629 1.893 -1.600 3.608 5.525" Properties=species:S:1:pos:R:3 pbc="T T T"
Y -0.800 1.804 2.763
Y -0.845 -1.956 3.837
Y 1.646 -2.815 0.947
S 0.419 -0.501 1.838
S 0.384 -4.275 2.925
S 1.272 -1.521 5.581
S -2.073 0.363 4.749
Ho -1.690 -0.945 0.128
```

Values from the calculation:
The space group is Cmmm, No. 65. For the raw formation energy, the calculation gives -1.99 eV per atom. The value obtained for the density of states at the Fermi level is 4.90 states/eV per cell. Its crystal system is orthorhombic.


12.
## Y2Ho3S6 (PBE-GGA)

Data for a relaxed structure of Y2Ho3S6.

```
11
Lattice="6.476 0.000 1.925 3.238 5.829 0.962 0.345 0.000 6.717" Properties=species:S:1:pos:R:3 pbc="T T T"
Y 3.410 3.900 4.321
Y 6.649 1.928 5.284
Ho 0.000 0.000 0.000
Ho 3.238 1.901 0.962
Ho 6.476 3.927 1.925
S 5.110 3.886 6.503
S 5.105 0.000 6.467
S 1.872 1.943 5.541
S 1.716 0.000 2.175
S 4.949 1.943 3.102
S 8.187 3.886 4.064
```

Values from the calculation:
The space group is C2/m, No. 12. For the raw formation energy, the calculation gives -2.07 eV per atom. The value obtained for the density of states at the Fermi level is 3.99 states/eV per cell. Its crystal system is monoclinic.


13.
## YHo4S4 (PBE-GGA)

Data for a relaxed structure of YHo4S4.

```
9
Lattice="-3.099 3.968 -2.126 -2.738 -1.536 -5.900 -6.434 -0.297 1.798" Properties=species:S:1:pos:R:3 pbc="T T T"
Y 0.000 0.000 0.000
Ho -4.773 1.423 -4.436
Ho -7.498 0.712 -1.792
Ho -3.766 0.362 -0.861
Ho -8.505 1.773 -5.368
S -9.014 2.723 -2.853
S -3.257 -0.588 -3.375
S -6.970 -0.200 -4.263
S -5.301 2.335 -1.965
```

Values from the calculation:
The space group is I4/m, No. 87. For the raw formation energy, the calculation gives -1.75 eV per atom. The value obtained for the density of states at the Fermi level is 5.29 states/eV per cell. Its crystal system is tetragonal.


14.
## Y2Ho3S4 (PBE-GGA)

Data for a relaxed structure of Y2Ho3S4.

```
9
Lattice="0.769 2.516 -2.815 -3.445 -1.718 0.160 -5.472 11.819 9.068" Properties=species:S:1:pos:R:3 pbc="T T T"
Y -4.981 10.490 5.378
Y -3.167 2.127 1.035
Ho -2.881 5.954 1.898
Ho 0.000 0.000 0.000
Ho -5.267 6.662 4.516
S -6.959 10.316 7.319
S -1.682 3.633 2.787
S -3.790 8.186 6.281
S -1.189 2.300 -0.906
```

Values from the calculation:
The space group is P-3m1, No. 164. For the raw formation energy, the calculation gives -1.75 eV per atom. The value obtained for the density of states at the Fermi level is 6.09 states/eV per cell. Its crystal system is trigonal.


15.
## Y4HoS7 (PBE-GGA)

Data for a relaxed structure of Y4HoS7.

```
12
Lattice="-0.169 3.440 1.638 -3.102 -4.249 4.165 11.213 -0.852 2.945" Properties=species:S:1:pos:R:3 pbc="T T T"
Y 7.747 0.018 5.201
Y 0.197 -1.679 3.546
Y 7.938 -1.660 8.745
Y 4.017 -0.925 2.356
Ho 3.929 -0.736 6.391
S 2.344 0.198 4.265
S 5.594 -1.869 4.503
S 8.465 -2.531 6.188
S -0.523 0.871 2.556
S 8.529 -0.876 2.718
S -0.596 -0.782 6.022
S 2.433 -2.951 6.449
```

Values from the calculation:
The space group is Cm, No. 8. For the raw formation energy, the calculation gives -2.08 eV per atom. The value obtained for the density of states at the Fermi level is 1.41 states/eV per cell. Its crystal system is monoclinic.


16.
## YHo4S5 (PBE-GGA)

Data for a relaxed structure of YHo4S5.

```
10
Lattice="-1.326 -2.681 -2.495 5.035 -0.501 -2.138 0.184 -5.410 8.758" Properties=species:S:1:pos:R:3 pbc="T T T"
Y 0.000 0.000 0.000
Ho 1.631 -5.602 5.154
Ho 3.075 -5.785 1.542
Ho 0.817 -2.808 2.584
Ho 2.262 -2.991 -1.028
S -0.251 -2.757 0.055
S 0.561 -5.545 2.621
S 3.332 -3.048 1.505
S 2.517 -0.251 -1.069
S 4.143 -5.836 4.071
```

Values from the calculation:
The space group is Immm, No. 71. For the raw formation energy, the calculation gives -1.97 eV per atom. The value obtained for the density of states at the Fermi level is 4.39 states/eV per cell. Its crystal system is orthorhombic.


17.
## Y2HoS (PBE-GGA)

Data for a relaxed structure of Y2HoS.

```
4
Lattice="3.739 0.000 0.000 1.869 3.238 0.000 1.869 1.079 9.160" Properties=species:S:1:pos:R:3 pbc="T T T"
Y 1.869 1.079 7.472
Y 1.869 1.079 1.680
Ho 3.739 2.159 4.591
S 5.608 3.238 9.158
```

Values from the calculation:
The space group is R3m, No. 160. For the raw formation energy, the calculation gives -0.96 eV per atom. The value obtained for the density of states at the Fermi level is 2.85 states/eV per cell. Its crystal system is trigonal.


18.
## YHo2S2 (PBE-GGA)

Data for a relaxed structure of YHo2S2.

```
5
Lattice="3.747 0.000 0.693 1.809 3.281 0.693 0.134 0.079 9.754" Properties=species:S:1:pos:R:3 pbc="T T T"
Y 0.000 0.000 0.000
Ho 1.248 0.737 3.729
Ho 4.442 2.623 7.411
S 3.405 2.011 2.540
S 2.285 1.349 8.600
```

Values from the calculation:
The space group is R-3m, No. 166. For the raw formation energy, the calculation gives -1.57 eV per atom. The value obtained for the density of states at the Fermi level is 3.59 states/eV per cell. Its crystal system is trigonal.


19.
## Y2HoS (PBE-GGA)

Data for a relaxed structure of Y2HoS.

```
4
Lattice="-2.362 1.266 -2.509 -3.419 0.901 0.988 1.072 10.041 1.374" Properties=species:S:1:pos:R:3 pbc="T T T"
Y 0.067 6.916 0.743
Y -4.775 5.292 -0.890
S -2.354 6.104 -0.073
Ho 0.000 0.000 0.000
```

Values from the calculation:
The space group is R-3m, No. 166. For the raw formation energy, the calculation gives -0.73 eV per atom. The value obtained for the density of states at the Fermi level is 4.72 states/eV per cell. Its crystal system is trigonal.


20.
## Y2Ho6S3 (PBE-GGA)

Data for a relaxed structure of Y2Ho6S3.

```
11
Lattice="-0.918 2.477 2.630 -2.733 -0.772 2.414 14.983 -9.481 16.802" Properties=species:S:1:pos:R:3 pbc="T T T"
Y 8.496 -5.644 13.564
Y 2.837 -2.133 8.282
Ho 11.646 -7.411 13.687
Ho -0.314 -0.366 8.159
Ho 5.960 -3.884 8.380
Ho 5.372 -3.893 13.466
Ho 12.624 -8.205 17.417
Ho -1.292 0.428 4.429
S 0.000 0.000 0.000
S 1.001 -0.807 3.751
S 10.332 -6.969 18.095
```

Values from the calculation:
The space group is R-3m, No. 166. For the raw formation energy, the calculation gives -1.04 eV per atom. The value obtained for the density of states at the Fermi level is 10.31 states/eV per cell. Its crystal system is trigonal.